# 1
Entry from Alexandria: a relaxed BOF3 crystal (GGA-PBE).

a b c (Å): 3.8103 3.8103 3.8103
angles (deg): 90.00 90.00 90.00
Closest atoms and distances in Å follow each position.
Positions (direct):
B1 0.0000 0.0000 0.0000  12 F 2.69
O1 0.5000 0.5000 0.5000  6 F 1.91
F1 0.0000 0.5000 0.5000  2 O 1.91
F2 0.5000 0.0000 0.5000  2 O 1.91
F3 0.5000 0.5000 0.0000  2 O 1.91

Calculated values
Its crystal system is cubic. For the mass density, the calculation gives 2.5 g cm⁻³. The total energy is -2.62 eV per atom.

***

# 2
Entry from Alexandria: a relaxed K2Zn2O crystal (GGA-PBE).

a b c (Å): 6.8496 6.8496 6.4828
angles (deg): 90.00 90.00 90.00
Closest atoms and distances in Å follow each position.
Positions (direct):
K1 0.1747 0.3253 0.0000  2 O 2.53
K2 0.3253 0.8253 0.0000  2 O 2.53
K3 0.6747 0.1747 0.0000  2 O 2.53
K4 0.8253 0.6747 0.0000  2 O 2.53
Zn1 0.1645 0.6645 0.5000  1 Zn 3.19
Zn2 0.3355 0.1645 0.5000  1 Zn 3.19
Zn3 0.6645 0.8355 0.5000  1 Zn 3.19
Zn4 0.8355 0.3355 0.5000  1 Zn 3.19
O1 0.0000 0.0000 0.0000  4 K 2.53
O2 0.5000 0.5000 0.0000  4 K 2.53

Calculated values
Its crystal system is tetragonal. For the mass density, the calculation gives 2.5 g cm⁻³. The total energy is -2.04 eV per atom.

***

# 3
Entry from Alexandria: a relaxed LaZrRh3 crystal (GGA-PBE).

a b c (Å): 4.8679 4.8679 4.8679
angles (deg): 90.00 90.00 90.00
Closest atoms and distances in Å follow each position.
Positions (direct):
La1 0.0000 0.0000 0.0000  6 Rh 2.43
Zr1 0.5000 0.5000 0.5000  12 Rh 3.44
Rh1 0.0000 0.0000 0.5000  2 La 2.43
Rh2 0.0000 0.5000 0.0000  2 La 2.43
Rh3 0.5000 0.0000 0.0000  2 La 2.43

Calculated values
Its crystal system is cubic. For the formation energy, the calculation gives 0.789 eV/atom. For the mass density, the calculation gives 7.8 g cm⁻³. The total energy is -6.32 eV per atom.

***

# 4
Entry from Alexandria: a relaxed PbW2Br crystal (GGA-PBE).

a b c (Å): 3.1704 3.3856 17.9792
angles (deg): 90.00 90.00 90.00
Closest atoms and distances in Å follow each position.
Positions (direct):
Pb1 0.0000 0.0000 0.0000  4 Pb 3.17-3.39, 5 W 3.19-3.46
Pb2 0.0000 0.5000 0.5000  4 Pb 3.17-3.39, 5 W 3.19-3.46
W1 0.0000 0.0000 0.8075  2 Br 2.64, 4 W 2.65
W2 0.0000 0.5000 0.3075  2 Br 2.64, 4 W 2.65
W3 0.5000 0.0000 0.3784  4 W 2.65
W4 0.5000 0.5000 0.8784  4 W 2.65
Br1 0.5000 0.0000 0.6903  2 W 2.64
Br2 0.5000 0.5000 0.1903  2 W 2.64

Calculated values
Its crystal system is orthorhombic. For the mass density, the calculation gives 11.3 g cm⁻³. The total energy is -7.47 eV per atom.